(1)
A PBEsol-optimized structure of ZnCoAg2. Source: the Alexandria database, functional SCAN.

Summary:
For the uncorrected energy, the calculation gives -23.304 eV per atom. The calculation puts the energy relative to the elements at 84.4 meV per atom.

a = 2.7462 Å, b = 2.7462 Å, c = 7.5021 Å
α = 90.00°, β = 90.00°, γ = 90.00°
Fractional coordinates of all 4 atoms:
Zn1 0.0000 0.0000 0.0000
Co1 0.5000 0.5000 0.7923
Ag1 0.0000 0.0000 0.5465
Ag2 0.5000 0.5000 0.2603

(2)
A PBEsol-optimized structure of ZrMo2Pt. Source: the Alexandria database, functional SCAN.

Summary:
The energy above the most stable polymorph in this dataset comes out at 0 kJ/mol of formula units. For the uncorrected energy, the calculation gives -43.004 eV per atom. The calculation puts the energy relative to the elements at -338.5 meV per atom.

a = 3.4492 Å, b = 4.2035 Å, c = 4.5533 Å
α = 90.00°, β = 90.00°, γ = 90.00°
Fractional coordinates of all 4 atoms:
Zr1 0.0000 0.0000 0.0000
Mo1 0.0000 0.5000 0.5000
Mo2 0.5000 0.0000 0.5000
Pt1 0.5000 0.5000 0.0000

| no. | magnetic moment (μB per cell) |
| --- | --- |
| 1 | 1.65 |
| 2 | 0.00 |